No. 1
Here is Al2As at its PBEsol-relaxed geometry from Alexandria via LeMat-Bulk. Energies are from SCAN.

a = 2.7476 Å, b = 4.6933 Å, c = 4.6933 Å
α = 120.00°, β = 90.00°, γ = 90.00°
Fractional positions:
As1 0.0000 0.0000 0.0000
Al1 0.8042 0.3333 0.6667
Al2 0.1958 0.6667 0.3333

Calculated values
Space group   P-3m1 (164)

=====

No. 2
Here is AlAs2 at its PBEsol-relaxed geometry from Alexandria via LeMat-Bulk. Energies are from SCAN.

a = 3.7711 Å, b = 3.7711 Å, c = 9.7149 Å
α = 90.00°, β = 90.00°, γ = 120.00°
Fractional positions:
As1 0.3333 0.6667 0.6058
As2 0.6667 0.3333 0.1058
As3 0.6667 0.3333 0.3942
As4 0.3333 0.6667 0.8942
Al1 0.0000 0.0000 0.7500
Al2 0.0000 0.0000 0.2500

Calculated values
Space group   P6_3/mmc (194)

=====

No. 3
Here is AlAs2 at its PBEsol-relaxed geometry from Alexandria via LeMat-Bulk. Energies are from SCAN.

a = 3.7130 Å, b = 3.7130 Å, c = 4.7640 Å
α = 90.00°, β = 90.00°, γ = 120.00°
Fractional positions:
As1 0.3333 0.6667 0.3180
As2 0.6667 0.3333 0.6820
Al1 0.0000 0.0000 0.0000

Calculated values
Space group   P-3m1 (164)

=====

No. 4
Here is AlAs2 at its PBEsol-relaxed geometry from Alexandria via LeMat-Bulk. Energies are from SCAN.

a = 3.5399 Å, b = 3.5970 Å, c = 9.1522 Å
α = 90.00°, β = 101.15°, γ = 90.00°
Fractional positions:
As1 0.4370 0.2500 0.8741
As2 0.5630 0.7500 0.1259
As3 0.7190 0.2500 0.4380
As4 0.2810 0.7500 0.5620
Al1 0.1067 0.2500 0.2134
Al2 0.8933 0.7500 0.7866

Calculated values
Space group   Cmcm (63)

=====

No. 5
Here is AlAsAu2 at its PBEsol-relaxed geometry from Alexandria via LeMat-Bulk. Energies are from SCAN.

a = 2.7901 Å, b = 5.3470 Å, c = 5.5816 Å
α = 118.62°, β = 104.47°, γ = 90.00°
Fractional positions:
As1 0.0000 0.5000 0.0000
Au1 0.7671 0.7671 0.5341
Au2 0.2329 0.2329 0.4659
Al1 0.5000 0.0000 0.0000

Calculated values
Space group   Immm (71)

=====

No. 6
Here is AlAsAu2 at its PBEsol-relaxed geometry from Alexandria via LeMat-Bulk. Energies are from SCAN.

a = 3.2013 Å, b = 4.3279 Å, c = 5.6237 Å
α = 102.96°, β = 90.00°, γ = 111.71°
Fractional positions:
As1 0.5000 0.0000 0.0000
Au1 0.7421 0.4842 0.7269
Au2 0.2579 0.5158 0.2731
Al1 0.0000 0.0000 0.5000

Calculated values
Space group   C2/m (12)

=====

No. 7
Here is Al2AsAu at its PBEsol-relaxed geometry from Alexandria via LeMat-Bulk. Energies are from SCAN.

a = 3.7909 Å, b = 4.8395 Å, c = 4.8591 Å
α = 119.87°, β = 112.96°, γ = 90.00°
Fractional positions:
As1 0.5000 0.0000 0.0000
Au1 0.0000 0.5000 0.0000
Al1 0.7498 0.7498 0.4997
Al2 0.2502 0.2502 0.5003

Calculated values
Space group   Immm (71)

=====

No. 8
Here is AlAsAu2 at its PBEsol-relaxed geometry from Alexandria via LeMat-Bulk. Energies are from SCAN.

a = 3.7037 Å, b = 3.7037 Å, c = 5.3142 Å
α = 90.00°, β = 90.00°, γ = 90.00°
Fractional positions:
As1 0.5000 0.5000 0.8218
Au1 0.0000 0.0000 0.9212
Au2 0.5000 0.5000 0.3190
Al1 0.0000 0.0000 0.4381

Calculated values
Space group   P4mm (99)

=====

no.,total energy (eV per cell),DOS(E_F) (states/eV/f.u.)
1,-35.38,1.48
2,-96.26,1.37
3,-48.09,1.38
4,-95.33,1.50
5,-166.57,1.95
6,-167.08,1.34
7,-105.13,1.54
8,-166.93,1.55